1.
The following is a DFT calculation (PBE) of a geometry-optimized P3RuBr structure.

The structure in POSCAR format:
```
P3RuBr
1.0
-0.858 2.552 -3.773
2.285 -3.080 -2.603
-3.940 -2.342 -0.688
P Ru Br
3 1 1
Cartesian
1.143 -1.540 -1.302
-1.970 -1.171 -0.344
-0.429 1.276 -1.886
0.000 0.000 0.000
-1.257 -1.435 -3.532
```

Computed properties:
ΔE_f (raw): 3.0 eV per formula unit
Energy relative to the lowest polymorph listed for this composition: 0 meV per atom

---

2.
The following is a DFT calculation (PBE) of a geometry-optimized Ca2Pt3 structure.

The structure in POSCAR format:
```
Ca2Pt3
1.0
-0.243 -2.079 3.773
4.898 -3.901 -1.834
4.699 4.277 2.659
Pt Ca
6 4
Cartesian
6.148 -0.169 0.302
1.322 -1.441 1.758
5.166 0.230 2.927
3.449 0.545 0.522
8.032 -0.262 2.840
4.188 -1.933 1.672
2.449 -1.950 -0.917
4.199 3.030 1.940
5.398 -2.654 -1.115
2.228 1.099 3.216
```

Computed properties:
Formation enthalpy at 0 K: -283 kJ/mol of formula units

---

3.
The following is a DFT calculation (PBE) of a geometry-optimized Ag2SF structure.

The structure in POSCAR format:
```
Ag2SF
1.0
-4.559 -0.675 2.375
-0.781 -4.380 -2.743
4.527 -5.305 7.180
Ag F S
8 4 4
Cartesian
2.492 -7.072 5.601
-3.305 -3.288 1.211
0.140 -4.317 1.873
1.629 -3.413 4.984
-0.548 -0.863 1.534
-0.953 -6.043 4.939
-2.442 -6.947 1.828
-0.265 -9.497 5.278
-1.303 -8.281 3.632
-0.897 -3.101 0.227
0.085 -7.259 6.585
0.490 -2.079 3.179
-2.880 -1.139 2.637
-2.086 -4.716 3.144
1.273 -5.643 3.667
2.067 -9.221 4.174
```

Computed properties:
ΔE_f (raw): -2.0 eV per formula unit
Energy relative to the lowest polymorph listed for this composition: 0 meV per atom

---

4.
The following is a DFT calculation (PBE) of a geometry-optimized LiLaCl2 structure.

The structure in POSCAR format:
```
LiLaCl2
1.0
0.000 3.573 3.573
3.573 0.000 3.573
3.573 3.573 0.000
Cl Li La
2 1 1
Cartesian
5.359 5.359 5.359
1.786 1.786 1.786
0.000 0.000 0.000
3.573 3.573 3.573
```

Computed properties:
ΔE_f (raw): -4.9 eV per formula unit
Energy relative to the lowest polymorph listed for this composition: 445 meV per atom

---

5.
The following is a DFT calculation (PBE) of a geometry-optimized MgTe2Au structure.

The structure in POSCAR format:
```
MgTe2Au
1.0
3.909 0.000 0.000
0.000 3.909 0.000
0.000 0.000 7.436
Mg Te Au
1 2 1
Cartesian
1.954 1.954 5.582
0.000 0.000 6.585
1.954 1.954 2.749
0.000 0.000 3.674
```

Computed properties:
ΔE_f (raw): -1.3 eV per formula unit

---

6.
The following is a DFT calculation (PBE) of a geometry-optimized Mg3Mn structure.

The structure in POSCAR format:
```
Mg3Mn
1.0
-8.474 4.698 -3.045
-9.055 4.600 -0.042
-7.375 6.880 -1.202
Mg Mn
3 1
Cartesian
-6.411 4.165 -1.104
-12.452 8.089 -2.144
-18.494 12.014 -3.184
0.000 0.000 0.000
```

Computed properties:
Formation enthalpy at 0 K: 84 kJ/mol of formula units

---

7.
The following is a DFT calculation (PBE) of a geometry-optimized KBaNi2Cl8 structure.

The structure in POSCAR format:
```
KBaNi2Cl8
1.0
7.181 0.000 0.000
-3.591 6.219 0.000
0.000 0.000 9.815
K Ni Cl Ba
1 2 8 1
Cartesian
0.000 0.000 0.000
0.000 4.146 6.713
3.591 2.073 3.102
-1.829 5.202 7.363
0.000 4.146 4.538
0.000 2.034 7.363
1.762 1.017 2.452
1.829 5.202 7.363
5.419 1.017 2.452
3.591 4.185 2.452
3.591 2.073 5.277
0.000 0.000 4.908
```

Computed properties:
ΔE_f (raw): -14.2 eV per formula unit

---

8.
The following is a DFT calculation (PBE) of a geometry-optimized TbZrCdIn structure.

The structure in POSCAR format:
```
TbZrCdIn
1.0
5.145 0.000 0.000
2.572 4.456 0.000
2.572 1.485 4.201
Tb Cd Zr In
1 1 1 1
Cartesian
5.145 2.970 2.100
7.717 4.456 3.151
0.000 0.000 0.000
2.572 1.485 1.050
```

Computed properties:
Formation enthalpy at 0 K: -97 kJ/mol of formula units